(1)
# K2Er2GeO6

A geometry-optimized K2Er2GeO6 structure (PBE-GGA, Alexandria).

Computed properties:
Density of states at the Fermi level: 0.0 states/eV/cell
Calculated volume: 16.076 Å³/atom
Final energy: -145.41 eV for the cell shown
Total magnetization: 0.0 μB per cell

Cell lengths 5.6912, 9.7706, 6.5928 Å; angles 90.00, 105.26, 90.00 degrees
With the nearest neighbours (Å) after each atom.
Space group C2/m (No. 12)
Symmetry-distinct sites (fractional):
K: 0.0000 0.1624 0.0000 [4 per cell]  6 O 2.72-3.01
Er: 0.0000 0.3343 0.5000 [4 per cell]  6 O 2.25-2.28
Ge: 0.0000 0.0000 0.5000 [2 per cell]  6 O 1.95-2.01
O: 0.1997 0.1515 0.6683 [8 per cell]  1 Ge 2.01, 1 Er 2.25
O: 0.2374 0.0000 0.3332 [4 per cell]  1 Ge 1.95

---

(2)
# K3Er3GeO8

A geometry-optimized K3Er3GeO8 structure (PBE-GGA, Alexandria).

Computed properties:
Density of states at the Fermi level: 0.0 states/eV/cell
Calculated volume: 16.116 Å³/atom
Final energy: -298.31 eV for the cell shown
Total magnetization: 0.0 μB per cell

Cell lengths 6.6582, 6.6582, 18.8896 Å; angles 90.00, 90.00, 120.00 degrees
With the nearest neighbours (Å) after each atom.
Space group R-3m (No. 166, hexagonal axes)
Symmetry-distinct sites (fractional):
K: 0.0000 0.5000 0.0000 [9 per cell]  6 O 2.77-2.79
Er: 0.0000 0.5000 0.5000 [9 per cell]  6 O 2.23-2.30
Ge: 0.0000 0.0000 0.5000 [3 per cell]  6 O 2.01
O: 0.0000 0.0000 0.2265 [6 per cell]  3 Er 2.23
O: 0.0370 0.5185 0.2231 [18 per cell]  1 Ge 2.01

---

(3)
# KEr4Ge3O12

A geometry-optimized KEr4Ge3O12 structure (PBE-GGA, Alexandria).

Computed properties:
Density of states at the Fermi level: 11.2 states/eV/cell
Calculated volume: 13.462 Å³/atom
Final energy: -281.75 eV for the cell shown
Total magnetization: 0.0 μB per cell

Cell lengths 8.1357, 8.1357, 8.1357 Å; angles 90.00, 90.00, 90.00 degrees
With the nearest neighbours (Å) after each atom.
Space group Im-3 (No. 204)
Symmetry-distinct sites (fractional):
K: 0.0000 0.0000 0.0000 [2 per cell]  12 O 3.01
Er: 0.2500 0.2500 0.2500 [8 per cell]  6 O 2.26
Ge: 0.0000 0.0000 0.5000 [6 per cell]  4 O 1.89
O: 0.0000 0.1611 0.3330 [24 per cell]  1 Ge 1.89

---

(4)
# K2ErGe2O6

A geometry-optimized K2ErGe2O6 structure (PBE-GGA, Alexandria).

Computed properties:
Density of states at the Fermi level: 2.9 states/eV/cell
Calculated volume: 16.675 Å³/atom
Final energy: -136.47 eV for the cell shown
Total magnetization: 1.8 μB per cell

Cell lengths 10.2985, 6.0342, 6.9011 Å; angles 90.00, 121.19, 90.00 degrees
With the nearest neighbours (Å) after each atom.
Space group C2/m (No. 12)
Symmetry-distinct sites (fractional):
K: 0.2059 0.0000 0.1684 [4 per cell]  9 O 2.88-3.22
Er: 0.0000 0.0000 0.5000 [2 per cell]  6 O 2.23-2.25
Ge: 0.0527 0.5000 0.2200 [4 per cell]  3 O 1.74-1.75
O: 0.0310 0.2565 0.7568 [8 per cell]  1 Ge 1.75
O: 0.2502 0.0000 0.6428 [4 per cell]  1 Ge 1.74

---

(5)
# K3Er3GeS8

A geometry-optimized K3Er3GeS8 structure (PBE-GGA, Alexandria).

Computed properties:
Density of states at the Fermi level: 2.0 states/eV/cell
Calculated volume: 26.575 Å³/atom
Final energy: -231.52 eV for the cell shown
Total magnetization: 0.0 μB per cell

Cell lengths 7.8235, 7.8235, 22.5601 Å; angles 90.00, 90.00, 120.00 degrees
With the nearest neighbours (Å) after each atom.
Space group R-3m (No. 166, hexagonal axes)
Symmetry-distinct sites (fractional):
K: 0.0000 0.5000 0.0000 [9 per cell]  6 S 3.20
Er: 0.0000 0.5000 0.5000 [9 per cell]  6 S 2.71-2.74
Ge: 0.0000 0.0000 0.5000 [3 per cell]  6 S 2.51
S: 0.0000 0.0000 0.2329 [6 per cell]  3 Er 2.71
S: 0.0274 0.5137 0.2290 [18 per cell]  1 Ge 2.51, 2 Er 2.74

---

(6)
# K2ErGeSe4

A geometry-optimized K2ErGeSe4 structure (PBE-GGA, Alexandria).

Computed properties:
Density of states at the Fermi level: 5.4 states/eV/cell
Calculated volume: 35.031 Å³/atom
Final energy: -67.13 eV for the cell shown
Total magnetization: 0.0 μB per cell

Cell lengths 8.8831, 9.6123, 6.5641 Å; angles 90.00, 90.00, 90.00 degrees
With the nearest neighbours (Å) after each atom.
Space group Pmn2_1 (No. 31)
Symmetry-distinct sites (fractional):
K: 0.2374 0.1458 0.0000 [4 per cell]  5 Se 3.14-3.38
Er: 0.0000 0.3697 0.4639 [2 per cell]  4 Se 2.69-2.75
Ge: 0.0000 0.6573 0.9388 [2 per cell]  4 Se 2.45-2.63
Se: 0.0000 0.4067 0.0487 [2 per cell]  1 Ge 2.51, 1 Er 2.75
Se: 0.0000 0.6404 0.5662 [2 per cell]  1 Ge 2.45, 1 Er 2.69
Se: 0.2499 0.2032 0.5081 [4 per cell]  1 Ge 2.63, 1 Er 2.75

---

(7)
# K3Er3GeSe8

A geometry-optimized K3Er3GeSe8 structure (PBE-GGA, Alexandria).

Computed properties:
Density of states at the Fermi level: 5.9 states/eV/cell
Calculated volume: 30.224 Å³/atom
Final energy: -210.71 eV for the cell shown
Total magnetization: 0.0 μB per cell

Cell lengths 8.1559, 8.1559, 23.6083 Å; angles 90.00, 90.00, 120.00 degrees
With the nearest neighbours (Å) after each atom.
Space group R-3m (No. 166, hexagonal axes)
Symmetry-distinct sites (fractional):
K: 0.0000 0.5000 0.0000 [9 per cell]  6 Se 3.32-3.33
Er: 0.0000 0.5000 0.5000 [9 per cell]  6 Se 2.85-2.86
Ge: 0.0000 0.0000 0.5000 [3 per cell]  6 Se 2.67
Se: 0.0000 0.0000 0.2344 [6 per cell]  3 Er 2.85
Se: 0.0211 0.5106 0.2307 [18 per cell]  1 Ge 2.67, 2 Er 2.86

---

(8)
# KErGeTe3

A geometry-optimized KErGeTe3 structure (PBE-GGA, Alexandria).

Computed properties:
Calculated volume: 36.033 Å³/atom
Final energy: -50.64 eV for the cell shown
Total magnetization: 0.0 μB per cell

Cell lengths 9.2108, 4.2777, 11.6630 Å; angles 90.00, 109.79, 90.00 degrees
With the nearest neighbours (Å) after each atom.
Space group P2_1/m (No. 11)
Symmetry-distinct sites (fractional):
K: 0.2310 0.2500 0.2789 [2 per cell]  7 Te 3.55-3.83, 1 Ge 3.67
Er: 0.3652 0.7500 0.8409 [2 per cell]  6 Te 3.04-3.10
Ge: 0.1181 0.2500 0.5524 [2 per cell]  3 Te 2.70-2.86, 2 Ge 3.00
Te: 0.1087 0.2500 0.7815 [2 per cell]  1 Ge 2.70
Te: 0.3304 0.7500 0.5672 [2 per cell]  2 Ge 2.86, 1 Er 3.10
Te: 0.3862 0.7500 0.1071 [2 per cell]  3 Er 3.04

---

(9)
# K3Er3GeTe8

A geometry-optimized K3Er3GeTe8 structure (PBE-GGA, Alexandria).

Computed properties:
Density of states at the Fermi level: 10.1 states/eV/cell
Calculated volume: 37.111 Å³/atom
Final energy: -124.68 eV for the cell shown
Total magnetization: 0.0 μB per cell

Cell lengths 15.0673, 8.6860, 9.8858 Å; angles 90.00, 120.63, 90.00 degrees
With the nearest neighbours (Å) after each atom.
Space group C2/m (No. 12)
Symmetry-distinct sites (fractional):
K: 0.0000 0.0000 0.0000 [2 per cell]  6 Te 3.53-3.57
K: 0.2500 0.2500 0.0000 [4 per cell]  6 Te 3.53-3.57
Er: 0.0000 0.5000 0.5000 [2 per cell]  6 Te 3.06-3.07
Er: 0.2500 0.2500 0.5000 [4 per cell]  6 Te 3.05-3.07
Ge: 0.0000 0.0000 0.5000 [2 per cell]  6 Te 2.95
Te: 0.0148 0.2415 0.3026 [8 per cell]  1 Ge 2.95, 2 Er 3.05-3.06
Te: 0.2267 0.0000 0.6971 [4 per cell]  1 Ge 2.95, 2 Er 3.06
Te: 0.2362 0.5000 0.7085 [4 per cell]  3 Er 3.07

---

(10)
# LaErGe

A geometry-optimized LaErGe structure (PBE-GGA, Alexandria).

Computed properties:
Polymorph energy (0 for the lowest one): 142 meV/atom
Energy of formation from the pure elements: -521 meV per atom
Density of states at the Fermi level: 12.1 states/eV/cell
Calculated volume: 29.659 Å³/atom
Total magnetization: 0.0 μB per cell

Cell lengths 7.0867, 7.0867, 7.0867 Å; angles 90.00, 90.00, 90.00 degrees
With the nearest neighbours (Å) after each atom.
Space group F-43m (No. 216)
Symmetry-distinct sites (fractional):
La: 0.0000 0.0000 0.0000 [4 per cell]  4 Ge 3.07
Er: 0.0000 0.0000 0.5000 [4 per cell]  4 Ge 3.07
Ge: 0.2500 0.2500 0.2500 [4 per cell]  4 La 3.07, 4 Er 3.07

---

(11)
# LaErGe2

A geometry-optimized LaErGe2 structure (PBE-GGA, Alexandria).

Computed properties:
Polymorph energy (0 for the lowest one): 0 meV/atom
Energy of formation from the pure elements: -806 meV per atom
Density of states at the Fermi level: 6.8 states/eV/cell
Calculated volume: 24.825 Å³/atom
Total magnetization: 0.0 μB per cell

Cell lengths 4.0533, 4.4398, 11.0361 Å; angles 90.00, 90.00, 90.00 degrees
With the nearest neighbours (Å) after each atom.
Space group Amm2 (No. 38)
Symmetry-distinct sites (fractional):
La: 0.0000 0.0000 0.0000 [2 per cell]  7 Ge 3.04-3.33
Er: 0.5000 0.0000 0.7257 [2 per cell]  7 Ge 3.06-3.24
Ge: 0.0000 0.0000 0.2755 [2 per cell]  2 Ge 2.72, 1 La 3.04
Ge: 0.5000 0.0000 0.4394 [2 per cell]  2 Ge 2.72

---

(12)
# LaEr4Ge4

A geometry-optimized LaEr4Ge4 structure (PBE-GGA, Alexandria).

Computed properties:
Energy of formation from the pure elements: -598 meV per atom
Density of states at the Fermi level: 16.4 states/eV/cell
Calculated volume: 27.900 Å³/atom
Total magnetization: 0.0 μB per cell

Cell lengths 9.3634, 9.3634, 5.7280 Å; angles 90.00, 90.00, 90.00 degrees
With the nearest neighbours (Å) after each atom.
Space group P4_2/n (No. 86, origin choice 2)
Symmetry-distinct sites (fractional):
La: 0.2500 0.2500 0.2500 [2 per cell]  4 Ge 3.22
Er: 0.1031 0.6385 0.1369 [8 per cell]  5 Ge 2.88-2.99
Ge: 0.0507 0.5956 0.6467 [8 per cell]  1 Ge 2.63, 4 Er 2.88-2.94

---

(13)
# LaErGe2

A geometry-optimized LaErGe2 structure (PBE-GGA, Alexandria).

Computed properties:
Polymorph energy (0 for the lowest one): 118 meV/atom
Energy of formation from the pure elements: -688 meV per atom
Density of states at the Fermi level: 8.1 states/eV/cell
Calculated volume: 26.258 Å³/atom
Total magnetization: 0.0 μB per cell

Cell lengths 4.6859, 4.6859, 16.5699 Å; angles 90.00, 90.00, 120.00 degrees
With the nearest neighbours (Å) after each atom.
Space group R-3m (No. 166, hexagonal axes)
Symmetry-distinct sites (fractional):
La: 0.0000 0.0000 0.0000 [3 per cell]  6 Ge 3.14
Er: 0.0000 0.0000 0.5000 [3 per cell]  6 Ge 2.95
Ge: 0.0000 0.0000 0.2375 [6 per cell]  3 Er 2.95, 3 La 3.14

---

(14)
# LaErGe2

A geometry-optimized LaErGe2 structure (PBE-GGA, Alexandria).

Computed properties:
Polymorph energy (0 for the lowest one): 183 meV/atom
Energy of formation from the pure elements: -623 meV per atom
Density of states at the Fermi level: 3.0 states/eV/cell
Calculated volume: 24.271 Å³/atom
Total magnetization: 0.0 μB per cell

Cell lengths 4.8620, 4.8620, 4.1070 Å; angles 90.00, 90.00, 90.00 degrees
With the nearest neighbours (Å) after each atom.
Space group P4/mmm (No. 123)
Symmetry-distinct sites (fractional):
La: 0.0000 0.0000 0.0000 [1 per cell]  8 Ge 3.18, 4 Er 3.44
Er: 0.5000 0.5000 0.0000 [1 per cell]  8 Ge 3.18, 4 La 3.44
Ge: 0.0000 0.5000 0.5000 [2 per cell]  4 La 3.18, 4 Er 3.18, 4 Ge 3.44

---

(15)
# LaErGe2

A geometry-optimized LaErGe2 structure (PBE-GGA, Alexandria).

Computed properties:
Polymorph energy (0 for the lowest one): 392 meV/atom
Energy of formation from the pure elements: -414 meV per atom
Density of states at the Fermi level: 12.2 states/eV/cell
Calculated volume: 29.128 Å³/atom
Total magnetization: 0.0 μB per cell

Cell lengths 8.0300, 4.2560, 13.6366 Å; angles 90.00, 90.00, 90.00 degrees
With the nearest neighbours (Å) after each atom.
Space group Pnma (No. 62)
Symmetry-distinct sites (fractional):
La: 0.1674 0.2500 0.1768 [4 per cell]  5 Ge 2.99-3.14
Er: 0.0802 0.7500 0.3990 [4 per cell]  3 Ge 2.88-2.99
Ge: 0.0772 0.2500 0.9640 [4 per cell]  3 Ge 2.50-2.65
Ge: 0.1058 0.2500 0.7816 [4 per cell]  1 Ge 2.50

---

(16)
# La5Er5Ge6

A geometry-optimized La5Er5Ge6 structure (PBE-GGA, Alexandria).

Computed properties:
Energy of formation from the pure elements: -730 meV per atom
Density of states at the Fermi level: 31.5 states/eV/cell
Calculated volume: 27.231 Å³/atom
Total magnetization: 0.0 μB per cell

Cell lengths 6.5574, 15.0873, 8.8077 Å; angles 90.00, 90.00, 90.00 degrees
With the nearest neighbours (Å) after each atom.
Space group Amm2 (No. 38)
Symmetry-distinct sites (fractional):
La: 0.0000 0.0000 0.0000 [2 per cell]  3 Ge 3.04-3.09
La: 0.0000 0.1217 0.3743 [4 per cell]  3 Ge 3.04-3.12
La: 0.5000 0.1236 0.1260 [4 per cell]  3 Ge 3.06-3.16
Er: 0.2505 0.1661 0.7494 [8 per cell]  6 Ge 3.11-3.23, 2 Er 3.27-3.29
Er: 0.5000 0.0000 0.5047 [2 per cell]  3 Ge 2.94-3.01
Ge: 0.0000 0.0000 0.6492 [2 per cell]  3 La 3.04-3.09, 4 Er 3.12
Ge: 0.0000 0.1994 0.0524 [4 per cell]  3 La 3.04-3.12, 4 Er 3.14-3.17
Ge: 0.5000 0.0000 0.8462 [2 per cell]  5 Er 3.01-3.11, 2 La 3.09
Ge: 0.5000 0.1928 0.4525 [4 per cell]  5 Er 2.94-3.23, 2 La 3.06-3.16

---

(17)
# LaErGe

A geometry-optimized LaErGe structure (PBE-GGA, Alexandria).

Computed properties:
Polymorph energy (0 for the lowest one): 241 meV/atom
Energy of formation from the pure elements: -423 meV per atom
Density of states at the Fermi level: 8.0 states/eV/cell
Calculated volume: 26.745 Å³/atom
Total magnetization: 0.0 μB per cell

Cell lengths 3.9139, 3.9139, 10.4753 Å; angles 90.00, 90.00, 90.00 degrees
With the nearest neighbours (Å) after each atom.
Space group I4mm (No. 107)
Symmetry-distinct sites (fractional):
La: 0.0000 0.0000 0.0000 [2 per cell]  1 Er 2.98, 4 Ge 3.31
Er: 0.0000 0.0000 0.2842 [2 per cell]  1 La 2.98, 4 Ge 3.00
Ge: 0.0000 0.0000 0.6734 [2 per cell]  4 Er 3.00, 4 La 3.31

---

(18)
# LaErGe2

A geometry-optimized LaErGe2 structure (PBE-GGA, Alexandria).

Computed properties:
Polymorph energy (0 for the lowest one): 115 meV/atom
Energy of formation from the pure elements: -691 meV per atom
Density of states at the Fermi level: 3.0 states/eV/cell
Calculated volume: 23.976 Å³/atom
Total magnetization: 0.0 μB per cell

Cell lengths 3.8232, 3.8232, 6.5613 Å; angles 90.00, 90.00, 90.00 degrees
With the nearest neighbours (Å) after each atom.
Space group P4/mmm (No. 123)
Symmetry-distinct sites (fractional):
La: 0.0000 0.0000 0.0000 [1 per cell]  2 Er 3.28, 8 Ge 3.32
Er: 0.0000 0.0000 0.5000 [1 per cell]  8 Ge 3.02, 2 La 3.28
Ge: 0.5000 0.5000 0.2935 [2 per cell]  1 Ge 2.71, 4 Er 3.02

---

(19)
# La2Er3Ge4

A geometry-optimized La2Er3Ge4 structure (PBE-GGA, Alexandria).

Computed properties:
Energy of formation from the pure elements: -888 meV per atom
Density of states at the Fermi level: 13.0 states/eV/cell
Calculated volume: 25.309 Å³/atom
Total magnetization: 0.0 μB per cell

Cell lengths 7.9223, 7.9436, 7.6975 Å; angles 90.00, 109.88, 90.00 degrees
With the nearest neighbours (Å) after each atom.
Space group P2_1/c (No. 14)
Symmetry-distinct sites (fractional):
La: 0.1937 0.1772 0.0688 [4 per cell]  7 Ge 3.07-3.42
Er: 0.2477 0.6670 0.2478 [4 per cell]  6 Ge 2.90-3.04
Er: 0.5000 0.0000 0.5000 [2 per cell]  6 Ge 3.01-3.11
Ge: 0.0848 0.5407 0.8527 [4 per cell]  4 Er 2.90-3.11, 1 Ge 3.07, 1 La 3.13
Ge: 0.4936 0.1328 0.8638 [4 per cell]  5 Er 2.94-3.09, 1 Ge 2.95, 2 La 3.07-3.29

---

(20)
# LaErGe4

A geometry-optimized LaErGe4 structure (PBE-GGA, Alexandria).

Computed properties:
Energy of formation from the pure elements: -530 meV per atom
Density of states at the Fermi level: 7.4 states/eV/cell
Calculated volume: 23.606 Å³/atom
Total magnetization: 0.0 μB per cell

Cell lengths 8.9300, 15.3863, 4.1234 Å; angles 90.00, 90.00, 90.00 degrees
With the nearest neighbours (Å) after each atom.
Space group Pbam (No. 55)
Symmetry-distinct sites (fractional):
La: 0.1216 0.1373 0.0000 [4 per cell]  10 Ge 3.22-3.47
Er: 0.1468 0.4149 0.0000 [4 per cell]  10 Ge 2.92-3.13
Ge: 0.0486 0.2928 0.5000 [4 per cell]  3 Ge 2.47-2.64
Ge: 0.1140 0.5642 0.5000 [4 per cell]  3 Ge 2.64-2.84
Ge: 0.1255 0.9643 0.5000 [4 per cell]  3 Ge 2.50-2.79
Ge: 0.1731 0.8032 0.5000 [4 per cell]  3 Ge 2.47-2.52